6
Lattice="4.466 0.000 0.000 0.000 4.466 0.000 0.000 0.000 5.711" Properties=species:S:1:pos:R:3 comment="CeZn2SiRh2 PBE optimized geometry" raw_formation_energy_kj_per_mol_atoms=-37.6 volume_a3_per_fu=113.91 energy_ev_per_cell=-30.9 dos_at_fermi_per_ev_atom=1.87 m_tot_mub_per_cell=1.47 pbc="T T T"
Ce 0.000 0.000 0.000
Zn 2.233 2.233 1.323
Zn 2.233 2.233 4.388
Si 0.000 0.000 2.856
Rh 0.000 2.233 2.856
Rh 2.233 0.000 2.856

5
Lattice="3.938 0.000 0.000 0.000 3.938 0.000 0.000 0.000 3.938" Properties=species:S:1:pos:R:3 comment="VRe3H PBE optimized geometry" volume_a3_per_fu=61.08 energy_ev_per_cell=-49.2 dos_at_fermi_per_ev_atom=0.65 m_tot_mub_per_cell=0.00 pbc="T T T"
V 0.000 0.000 0.000
Re 0.000 1.969 1.969
Re 1.969 0.000 1.969
Re 1.969 1.969 0.000
H 1.969 1.969 1.969